## PaHgAsO (PBE)

Data for a relaxed PaHgAsO crystal.

Computed properties:
Mass density in g/cm3: 10.604
Polymorph energy (0 for the lowest one) in eV/atom: 0.0000

Unit cell a=4.0446 b=4.0446 c=10.0038 alpha=90.00 beta=90.00 gamma=90.00
Space group P4/nmm (No. 129, origin choice 2)
Asymmetric unit:
Pa 0.2500 0.2500 0.1318 [2 per cell]
Hg 0.2500 0.7500 0.5000 [2 per cell]
As 0.2500 0.2500 0.7391 [2 per cell]
O 0.2500 0.7500 0.0000 [2 per cell]